The following is a DFT calculation (PBE) of a relaxed Gd3Ho2TmTe2Ir crystal.

Values from the calculation:
M_tot (μB/f.u.): 0.0
Crystal system: orthorhombic
Volume (Å³/f.u.): 241
E_tot (eV per cell): -50.7

a b c (Å): 4.0020 8.3334 8.3334
angles (deg): 119.90 90.00 90.00
Atoms (fractional coordinates):
Gd: 0.0000 0.3998 0.3998
Gd: 0.0000 0.9999 0.6013
Gd: 0.0000 0.6013 0.9999
Ho: 0.5000 0.2394 0.0000
Ho: 0.5000 0.0000 0.2394
Ir: 0.0000 0.9975 0.9975
Te: 0.5000 0.6665 0.3340
Te: 0.5000 0.3340 0.6665
Tm: 0.5000 0.7615 0.7615